Record 1
Compound: SrCaY2I
Source: Alexandria
Functional: PBE
Structure: relaxed

Properties
Uncorrected formation energy, eV per atom: 0.059
Symmetry: P4/mmm (123)
Electronic total energy, Ry per atom: -0.26261

abc: 5.801 6.174 5.801
angles: 90.00 90.00 90.00
Fractional positions:
I (0.000, 0.000, 0.000)
Y (0.000, 0.000, 0.500)
Y (0.500, 0.000, 0.000)
Ca (0.500, 0.500, 0.500)
Sr (0.000, 0.500, 0.000)

Record 2
Compound: Ca3TaI
Source: Alexandria
Functional: PBE
Structure: relaxed

Properties
Uncorrected formation energy, eV per atom: 0.735
Symmetry: Pm-3m (221)
Energy relative to the lowest polymorph listed for this composition, eV per formula unit: 0.00
Electronic total energy, Ry per atom: -0.23128

abc: 5.697 5.697 5.697
angles: 90.00 90.00 90.00
Fractional positions:
I (0.500, 0.500, 0.500)
Ca (0.000, 0.500, 0.000)
Ca (0.000, 0.000, 0.500)
Ca (0.500, 0.000, 0.000)
Ta (0.000, 0.000, 0.000)